# 1
The following is a PBE calculation of In2BiAu after structural relaxation, from Alexandria.

```
In2BiAu
1.0
4.3337 0.0000 0.0000
2.1668 3.7531 0.0000
2.1668 1.2510 6.6825
In Au Bi
2 1 1
Direct
0.2647 0.2647 0.2060
0.7353 0.7353 0.7940
0.0000 0.0000 0.0000
0.5000 0.5000 0.5000
```

Computed properties:
crystal system = trigonal
energy of formation from the pure elements = -48 meV/atom
theoretical density = 9.710 Mg/m³
electronic total energy = -12.826 eV for the cell shown


# 2
The following is a PBE calculation of In2BiAu after structural relaxation, from Alexandria.

```
In2BiAu
1.0
5.2867 0.0000 0.0000
0.0000 4.4217 0.0000
0.0000 0.0000 4.4217
Bi In Au
1 2 1
Direct
0.5000 0.0000 0.0000
0.0000 0.5000 0.0000
0.0000 0.0000 0.5000
0.5000 0.5000 0.5000
```

Computed properties:
crystal system = tetragonal
energy of formation from the pure elements = 35 meV/atom
theoretical density = 10.211 Mg/m³
electronic total energy = -12.497 eV for the cell shown


# 3
The following is a PBE calculation of InBiAu3 after structural relaxation, from Alexandria.

```
InBiAu3
1.0
-1.6867 4.4962 -2.5672
-4.0973 -2.8098 -2.2290
-3.1652 1.2412 4.2535
Au In Bi
3 1 1
Direct
0.0000 0.5000 0.0000
0.5000 0.0000 0.0000
0.0000 0.0000 0.5000
0.5000 0.5000 0.5000
0.0000 0.0000 0.0000
```

Computed properties:
crystal system = cubic
energy of formation from the pure elements = 381 meV/atom
theoretical density = 9.407 Mg/m³
electronic total energy = -14.548 eV for the cell shown
energy above the most stable polymorph in this dataset = 0.449 eV per atom


# 4
The following is a PBE calculation of In2Bi2Au after structural relaxation, from Alexandria.

```
In2Bi2Au
1.0
-1.1812 3.4757 -1.8812
-3.1021 0.4011 2.6890
2.8789 6.4178 5.5278
In Bi Au
2 2 1
Direct
0.2500 0.7500 0.5000
0.7500 0.2500 0.5000
0.5895 0.5895 0.8210
0.4105 0.4105 0.1790
0.0000 0.0000 0.0000
```

Computed properties:
crystal system = tetragonal
energy of formation from the pure elements = 206 meV/atom
theoretical density = 9.746 Mg/m³
electronic total energy = -15.487 eV for the cell shown
energy above the most stable polymorph in this dataset = 0.230 eV per atom


# 5
The following is a PBE calculation of In2BiAu7 after structural relaxation, from Alexandria.

```
In2BiAu7
1.0
-2.5216 0.1807 3.1512
-1.9352 -6.5347 -1.1738
7.0024 0.5852 5.5697
Au In Bi
7 2 1
Direct
0.5000 0.6834 0.7726
0.5000 0.5000 0.0000
0.5000 0.0892 0.7726
0.5000 0.9108 0.2274
0.0000 0.6248 0.2497
0.0000 0.3752 0.7503
0.5000 0.3166 0.2274
0.5000 0.2587 0.5173
0.5000 0.7413 0.4827
0.0000 0.0000 0.0000
```

Computed properties:
crystal system = orthorhombic
energy of formation from the pure elements = -30 meV/atom
theoretical density = 13.057 Mg/m³
electronic total energy = -32.594 eV for the cell shown


# 6
The following is a PBE calculation of KInBiAu2 after structural relaxation, from Alexandria.

```
KInBiAu2
1.0
4.9661 0.0000 0.0000
0.0000 4.9661 0.0000
-2.4830 -2.4830 5.8115
K Au Bi In
1 2 1 1
Direct
0.0000 0.0000 0.0000
0.3809 0.3809 0.7617
0.6191 0.6191 0.2383
0.7500 0.2500 0.5000
0.2500 0.7500 0.5000
```

Computed properties:
crystal system = tetragonal
energy of formation from the pure elements = -235 meV/atom
theoretical density = 8.769 Mg/m³
electronic total energy = -15.444 eV for the cell shown


# 7
The following is a PBE calculation of K2In3BiAu4 after structural relaxation, from Alexandria.

```
K2In3BiAu4
1.0
-2.7959 -1.7952 3.7810
-3.5228 -1.4461 -3.2916
4.9467 -9.7930 -0.9918
Au K In Bi
4 2 3 1
Direct
0.5000 0.5000 0.0000
0.0000 0.0000 0.0000
0.0000 0.5000 0.3650
0.5000 0.0000 0.6350
0.5000 0.0000 0.2384
0.0000 0.5000 0.7616
0.0000 0.0000 0.5000
0.0000 0.5000 0.1147
0.5000 0.0000 0.8853
0.5000 0.5000 0.5000
```

Computed properties:
crystal system = tetragonal
energy of formation from the pure elements = -294 meV/atom
theoretical density = 8.445 Mg/m³
electronic total energy = -30.337 eV for the cell shown


# 8
The following is a PBE calculation of K2InBi4Au3 after structural relaxation, from Alexandria.

```
K2InBi4Au3
1.0
5.0078 0.0000 0.0000
0.0000 5.0078 0.0000
0.0000 0.0000 12.2609
Au Bi K In
3 4 2 1
Direct
0.5000 0.0000 0.8702
0.0000 0.0000 0.5000
0.0000 0.5000 0.1298
0.0000 0.0000 0.0000
0.0000 0.5000 0.3608
0.5000 0.0000 0.6392
0.5000 0.5000 0.0000
0.5000 0.0000 0.2507
0.0000 0.5000 0.7493
0.5000 0.5000 0.5000
```

Computed properties:
crystal system = tetragonal
energy of formation from the pure elements = -221 meV/atom
theoretical density = 8.748 Mg/m³
electronic total energy = -32.502 eV for the cell shown